First-principles (PBE) data for an optimized crystal structure of Ac2ZnRu, as listed in Alexandria.

Lattice parameters (Å, degrees): 10.354 10.354 10.354 23.64 23.64 23.64
Fractional coordinates of all 4 atoms:
Ac: 0.114 0.114 0.114
Ac: 0.886 0.886 0.886
Zn: 0.000 0.000 0.000
Ru: 0.500 0.500 0.500

Output
total energy	-4.57	eV/atom
formation energy	0.1213	eV/atom
volume	157	Å³/cell
D(E_F)	1.91	states/eV/cell

First-principles (PBE) data for an optimized crystal structure of Ac2ZnRu, as listed in Alexandria.

Lattice parameters (Å, degrees): 3.736 3.736 7.889 90.00 90.00 90.00
Fractional coordinates of all 4 atoms:
Ac: 0.000 0.000 0.232
Ac: 0.000 0.000 0.768
Zn: 0.500 0.500 0.500
Ru: 0.500 0.500 0.000

Output
total energy	-4.78	eV/atom
formation energy	-0.0931	eV/atom
volume	110	Å³/cell
D(E_F)	4.63	states/eV/cell

First-principles (PBE) data for an optimized crystal structure of Ac2Zn7Ru, as listed in Alexandria.

Lattice parameters (Å, degrees): 4.398 4.398 10.650 90.00 90.00 90.00
Fractional coordinates of all 10 atoms:
Ac: 0.000 0.500 0.241
Ac: 0.500 0.000 0.759
Zn: 0.000 0.000 0.000
Zn: 0.000 0.000 0.500
Zn: 0.000 0.500 0.629
Zn: 0.000 0.500 0.875
Zn: 0.500 0.000 0.125
Zn: 0.500 0.000 0.371
Zn: 0.500 0.500 0.500
Ru: 0.500 0.500 0.000

Output
total energy	-2.86	eV/atom
formation energy	-0.2221	eV/atom
volume	206	Å³/cell
D(E_F)	6.80	states/eV/cell

First-principles (PBE) data for an optimized crystal structure of Ac8Zn2Ru, as listed in Alexandria.

Lattice parameters (Å, degrees): 10.663 10.663 8.359 91.49 91.49 25.82
Fractional coordinates of all 11 atoms:
Ac: 0.002 0.002 0.279
Ac: 0.228 0.228 0.814
Ac: 0.361 0.361 0.503
Ac: 0.400 0.400 0.000
Ac: 0.600 0.600 0.000
Ac: 0.639 0.639 0.497
Ac: 0.772 0.772 0.186
Ac: 0.998 0.998 0.721
Zn: 0.168 0.168 0.223
Zn: 0.832 0.832 0.777
Ru: 0.500 0.500 0.500

Output
total energy	-4.15	eV/atom
formation energy	-0.0864	eV/atom
volume	414	Å³/cell
D(E_F)	13.38	states/eV/cell

First-principles (PBE) data for an optimized crystal structure of AcZnRu, as listed in Alexandria.

Lattice parameters (Å, degrees): 4.404 4.404 4.252 90.00 90.00 120.00
Fractional coordinates of all 3 atoms:
Ac: 0.000 0.000 0.000
Zn: 0.667 0.333 0.500
Ru: 0.333 0.667 0.500

Output
total energy	-5.02	eV/atom
formation energy	-0.1338	eV/atom
volume	71	Å³/cell
polymorph energy (0 for the lowest one)	49	meV per atom
D(E_F)	2.93	states/eV/cell

First-principles (PBE) data for an optimized crystal structure of AcZnRu, as listed in Alexandria.

Lattice parameters (Å, degrees): 4.714 4.714 4.714 60.00 60.00 60.00
Fractional coordinates of all 3 atoms:
Ac: 0.000 0.000 0.000
Zn: 0.500 0.500 0.500
Ru: 0.250 0.250 0.250

Output
total energy	-4.82	eV/atom
formation energy	0.0633	eV/atom
volume	74	Å³/cell
polymorph energy (0 for the lowest one)	247	meV per atom
D(E_F)	3.21	states/eV/cell